1.
NbBMoOs2 (GGA-PBEsol, optimized geometry); total DFT energy (no corrections) = -53.6 eV for the cell shown; ΔE_f = 9 kJ per mole of atoms; space group = P4/mmm (123)
1.0
4.0522 0.0000 0.0000
0.0000 4.0522 0.0000
0.0000 0.0000 4.2460
Nb B Mo Os
1 1 1 2
Direct
0.0000 0.0000 0.0000
0.0000 0.0000 0.5000
0.5000 0.5000 0.0000
0.0000 0.5000 0.5000
0.5000 0.0000 0.5000



2.
NbBMoS2 (GGA-PBEsol, optimized geometry); energy relative to the elements, uncorrected = 1037 meV/atom; total DFT energy (no corrections) = -33.2 eV for the cell shown; space group = P4/mmm (123)
1.0
4.7115 0.0000 0.0000
0.0000 4.7115 0.0000
0.0000 0.0000 4.2418
Nb B Mo S
1 1 1 2
Direct
0.0000 0.0000 0.0000
0.0000 0.0000 0.5000
0.5000 0.5000 0.5000
0.0000 0.5000 0.0000
0.5000 0.0000 0.0000



3.
NdBMoO6 (GGA-PBEsol, optimized geometry); energy relative to the elements, uncorrected = -2602 meV/atom; total DFT energy (no corrections) = -315.4 eV for the cell shown; space group = P2_1/c (14)
1.0
10.1329 0.0000 0.0000
0.0000 4.1324 0.0000
-5.4303 0.0000 10.5862
Nd B Mo O
4 4 4 24
Direct
0.1946 0.1971 0.0295
0.1946 0.3029 0.5295
0.8054 0.6971 0.4705
0.8054 0.8029 0.9705
0.0055 0.6692 0.8098
0.0055 0.8308 0.3098
0.9945 0.1692 0.6902
0.9945 0.3308 0.1902
0.3528 0.7075 0.8141
0.3528 0.7925 0.3141
0.6472 0.2075 0.6859
0.6472 0.2925 0.1859
0.0011 0.7226 0.4142
0.0011 0.7774 0.9142
0.0336 0.1600 0.3027
0.0336 0.3400 0.8027
0.2569 0.7057 0.4046
0.2569 0.7943 0.9046
0.2592 0.7031 0.1456
0.2592 0.7969 0.6456
0.3365 0.2147 0.2969
0.3365 0.2853 0.7969
0.4568 0.2179 0.1056
0.4568 0.2821 0.6056
0.5432 0.7179 0.3944
0.5432 0.7821 0.8944
0.6635 0.7147 0.2031
0.6635 0.7853 0.7031
0.7408 0.2031 0.3544
0.7408 0.2969 0.8544
0.7431 0.2057 0.0954
0.7431 0.2943 0.5954
0.9664 0.6600 0.1973
0.9664 0.8400 0.6973
0.9989 0.2226 0.0858
0.9989 0.2774 0.5858



4.
NiBMoOs2 (GGA-PBEsol, optimized geometry); total DFT energy (no corrections) = -37.6 eV for the cell shown; ΔE_f = 228 kJ per mole of atoms; space group = P4/mmm (123)
1.0
4.6129 0.0000 0.0000
0.0000 4.6129 0.0000
0.0000 0.0000 4.0071
Ni B Mo Os
1 1 1 2
Direct
0.0000 0.0000 0.0000
0.5000 0.5000 0.0000
0.5000 0.5000 0.5000
0.0000 0.5000 0.5000
0.5000 0.0000 0.5000



5.
BMoO2 (GGA-PBEsol, optimized geometry); energy relative to the elements, uncorrected = -1068 meV/atom; total DFT energy (no corrections) = -33.6 eV for the cell shown; space group = R-3m (166)
1.0
1.2749 0.7361 5.9661
-1.2749 0.7361 5.9661
0.0000 -1.4722 5.9661
B Mo O
1 1 2
Direct
0.0000 0.0000 0.0000
0.5000 0.5000 0.5000
0.3823 0.3823 0.3823
0.6177 0.6177 0.6177



6.
B2MoO (GGA-PBEsol, optimized geometry); energy relative to the elements, uncorrected = 145 meV/atom; total DFT energy (no corrections) = -60.9 eV for the cell shown; space group = I-42d (122)
1.0
-2.4604 2.4604 3.0161
2.4604 -2.4604 3.0161
2.4604 2.4604 -3.0161
B Mo O
4 2 2
Direct
0.0207 0.1250 0.3957
0.3750 0.9793 0.1043
0.7293 0.6250 0.6043
0.8750 0.2707 0.8957
0.2500 0.7500 0.5000
0.5000 0.5000 0.0000
0.0000 0.0000 0.0000
0.7500 0.2500 0.5000



7.
Pr2B2MoO9 (GGA-PBEsol, optimized geometry); energy relative to the elements, uncorrected = -2767 meV/atom; total DFT energy (no corrections) = -244.3 eV for the cell shown; space group = P-1 (2)
1.0
5.2829 0.0000 0.0000
2.0208 6.7139 0.0000
2.5000 2.1606 9.9896
Pr B Mo O
4 4 2 18
Direct
0.1302 0.4212 0.3151
0.3449 0.2957 0.9526
0.6551 0.7043 0.0474
0.8698 0.5788 0.6849
0.0411 0.9099 0.1367
0.2386 0.7489 0.8424
0.7614 0.2511 0.1576
0.9589 0.0901 0.8633
0.4664 0.7908 0.4189
0.5336 0.2092 0.5811
0.0226 0.7155 0.1444
0.0444 0.6444 0.8598
0.1906 0.3175 0.5568
0.1913 0.9591 0.8110
0.2657 0.9754 0.0730
0.2680 0.7072 0.5707
0.3560 0.0567 0.3788
0.4178 0.6751 0.2977
0.4917 0.6352 0.8649
0.5083 0.3648 0.1351
0.5822 0.3249 0.7023
0.6440 0.9433 0.6212
0.7320 0.2928 0.4293
0.7343 0.0246 0.9270
0.8087 0.0409 0.1890
0.8094 0.6825 0.4432
0.9556 0.3556 0.1403
0.9774 0.2845 0.8556



8.
BMo2PPt (GGA-PBEsol, optimized geometry); total DFT energy (no corrections) = -39.0 eV for the cell shown; ΔE_f = 83 kJ per mole of atoms; space group = P4/mmm (123)
1.0
4.5191 0.0000 0.0000
0.0000 4.5191 0.0000
0.0000 0.0000 3.5172
B Mo P Pt
1 2 1 1
Direct
0.0000 0.0000 0.0000
0.0000 0.5000 0.5000
0.5000 0.0000 0.5000
0.0000 0.0000 0.5000
0.5000 0.5000 0.0000